## TaNbGaFe (PBE)

Data for a geometry-optimized TaNbGaFe structure.

a b c (Å): 6.3042 6.3042 6.3042
angles (deg): 90.00 90.00 90.00
Atoms (fractional coordinates):
Ta 0.0000 0.0000 0.0000
Ta 0.0000 0.5000 0.5000
Ta 0.5000 0.0000 0.5000
Ta 0.5000 0.5000 0.0000
Nb 0.2500 0.2500 0.2500
Nb 0.2500 0.7500 0.7500
Nb 0.7500 0.2500 0.7500
Nb 0.7500 0.7500 0.2500
Ga 0.0000 0.0000 0.5000
Ga 0.0000 0.5000 0.0000
Ga 0.5000 0.0000 0.0000
Ga 0.5000 0.5000 0.5000
Fe 0.2500 0.2500 0.7500
Fe 0.2500 0.7500 0.2500
Fe 0.7500 0.2500 0.2500
Fe 0.7500 0.7500 0.7500

## Properties
- ρ: 10.59 Mg/m³
- Calculated total energy: -0.30293 hartree per atom
- Magnetic moment: 2.8 μB/f.u.
- Energy above the most stable polymorph in this dataset: 0 meV/atom